Entry 1:
Density functional theory data (PBE-GGA) for crystalline Ga2SnPd2 at its relaxed geometry.

abc: 7.6677 7.6677 2.9751
angles: 90.00 90.00 90.00
Fractional coordinates of all 10 atoms:
1 Ga 0.1510 0.3490 0.0000
2 Ga 0.3490 0.8490 0.0000
3 Ga 0.6510 0.1510 0.0000
4 Ga 0.8490 0.6510 0.0000
5 Sn 0.0000 0.0000 0.5000
6 Sn 0.5000 0.5000 0.5000
7 Pd 0.1435 0.6435 0.5000
8 Pd 0.3565 0.1435 0.5000
9 Pd 0.6435 0.8565 0.5000
10 Pd 0.8565 0.3565 0.5000

Values from the calculation:
* E_form: -40 kJ per mole of atoms
* electronic total energy: -22.5 eV/f.u.
* E above lowest polymorph: 0.00 kcal/mol of atoms


Entry 2:
Density functional theory data (PBE-GGA) for crystalline TlCuNiTe2 at its relaxed geometry.

abc: 8.1290 5.7082 5.4608
angles: 90.00 103.71 90.00
Fractional coordinates of all 10 atoms:
1 Tl 0.0000 0.2158 0.2500
2 Tl 0.0000 0.7842 0.7500
3 Cu 0.5000 0.0000 0.0000
4 Cu 0.5000 0.0000 0.5000
5 Ni 0.5000 0.4161 0.2500
6 Ni 0.5000 0.5839 0.7500
7 Te 0.2762 0.3055 0.8659
8 Te 0.2762 0.6945 0.3659
9 Te 0.7238 0.3055 0.6341
10 Te 0.7238 0.6945 0.1341

Values from the calculation:
* electronic total energy: -18.8 eV/f.u.
* uncorrected formation energy: -0.051 eV per atom


Entry 3:
Density functional theory data (PBE-GGA) for crystalline LiLaTe2 at its relaxed geometry.

abc: 8.2619 8.2619 8.1011
angles: 110.59 110.59 30.27
Fractional coordinates of all 8 atoms:
1 Li 0.1081 0.1081 0.0981
2 Li 0.8919 0.8919 0.9019
3 La 0.3703 0.3703 0.4376
4 La 0.6297 0.6297 0.5624
5 Te 0.0169 0.0169 0.7319
6 Te 0.2835 0.2835 0.7453
7 Te 0.7165 0.7165 0.2547
8 Te 0.9831 0.9831 0.2681

Values from the calculation:
* electronic total energy: -18.5 eV/f.u.
* uncorrected formation energy: -1.341 eV per atom


Entry 4:
Density functional theory data (PBE-GGA) for crystalline CeTmHg at its relaxed geometry.

abc: 5.3130 5.3130 3.0909
angles: 90.00 90.00 120.00
Fractional coordinates of all 3 atoms:
1 Ce 0.0000 0.0000 0.0000
2 Tm 0.3333 0.6667 0.9984
3 Hg 0.6667 0.3333 0.5002

Values from the calculation:
* E_form: 3 kJ per mole of atoms
* electronic total energy: -10.6 eV/f.u.
* E above lowest polymorph: 5.65 kcal/mol of atoms